Density functional theory data (GGA+U) for an optimized crystal structure of TaAlVO6.

Output
**Crystal system**: tetragonal
**Final energy**: -8.46 eV/atom
**ρ**: 6.247 Mg/m³

Lattice parameters (Å, degrees): 4.585 4.585 8.974 90.00 90.00 90.00
Fractional coordinates of all 18 atoms:
1 Ta 0.500 0.500 0.171
2 Ta 0.000 0.000 0.671
3 Al 0.500 0.500 0.833
4 Al 0.000 0.000 0.333
5 V 0.500 0.500 0.503
6 V 0.000 0.000 0.003
7 O 0.200 0.800 0.495
8 O 0.800 0.200 0.495
9 O 0.300 0.300 0.995
10 O 0.700 0.700 0.995
11 O 0.191 0.809 0.170
12 O 0.809 0.191 0.170
13 O 0.309 0.309 0.670
14 O 0.691 0.691 0.670
15 O 0.796 0.204 0.832
16 O 0.204 0.796 0.832
17 O 0.704 0.704 0.332
18 O 0.296 0.296 0.332